Compound: As2Rh
Source: Alexandria
Functional: PBE-GGA
Structure: optimized geometry

Cell lengths 5.3232, 5.3232, 5.3232 Å; angles 60.00, 60.00, 60.00 degrees
Positions (direct):
As 0.6250 0.1250 0.1250
As 0.1250 0.6250 0.1250
As 0.1250 0.1250 0.6250
As 0.1250 0.1250 0.1250
Rh 0.5000 0.5000 0.5000
Rh 0.7500 0.7500 0.7500

Results
ΔE_f, eV/atom: 0.632
Crystal system: cubic

=====

Compound: AsRh2
Source: Alexandria
Functional: PBE-GGA
Structure: optimized geometry

Cell lengths 3.8599, 6.0056, 8.1751 Å; angles 90.00, 103.58, 90.00 degrees
Positions (direct):
As 0.1824 0.2087 0.3663
As 0.8176 0.7087 0.6337
As 0.5606 0.7210 0.1214
As 0.4394 0.2210 0.8786
Rh 0.6909 0.9462 0.3831
Rh 0.3091 0.4462 0.6169
Rh 0.4151 0.8198 0.8298
Rh 0.5849 0.3198 0.1702
Rh 0.1468 0.6174 0.2946
Rh 0.8532 0.1174 0.7054
Rh 0.9661 0.5012 0.9318
Rh 0.0339 0.0012 0.0682

Results
ΔE_f, eV/atom: -0.319
Crystal system: monoclinic

=====

Compound: As2Rh
Source: Alexandria
Functional: PBE-GGA
Structure: optimized geometry

Cell lengths 6.1844, 6.1844, 6.1844 Å; angles 151.76, 151.76, 40.36 degrees
Positions (direct):
As 0.3641 0.3641 0.0000
As 0.6359 0.6359 0.0000
Rh 0.0000 0.0000 0.0000

Results
ΔE_f, eV/atom: -0.148
Crystal system: tetragonal

=====

Compound: As5Rh4
Source: Alexandria
Functional: PBE-GGA
Structure: optimized geometry

Cell lengths 7.8007, 7.8007, 5.4515 Å; angles 90.00, 90.00, 120.00 degrees
Positions (direct):
As 0.0000 0.7144 0.2500
As 0.2856 0.2856 0.2500
As 0.7144 0.0000 0.2500
As 0.0000 0.2856 0.7500
As 0.7144 0.7144 0.7500
As 0.2856 0.0000 0.7500
As 0.6667 0.3333 0.0000
As 0.3333 0.6667 0.5000
As 0.3333 0.6667 0.0000
As 0.6667 0.3333 0.5000
Rh 0.0000 0.0000 0.0000
Rh 0.0000 0.0000 0.5000
Rh 0.0000 0.3788 0.2500
Rh 0.6212 0.6212 0.2500
Rh 0.3788 0.0000 0.2500
Rh 0.0000 0.6212 0.7500
Rh 0.3788 0.3788 0.7500
Rh 0.6212 0.0000 0.7500

Results
ΔE_f, eV/atom: -0.061
Crystal system: hexagonal
Offset from the most stable computed form, meV per atom: 0

=====

Compound: AsRh2
Source: Alexandria
Functional: PBE-GGA
Structure: optimized geometry

Cell lengths 5.4791, 5.4791, 6.3187 Å; angles 68.53, 68.53, 30.99 degrees
Positions (direct):
As 0.2000 0.2000 0.8164
As 0.8000 0.8000 0.1836
Rh 0.8673 0.8673 0.5090
Rh 0.5701 0.5701 0.1455
Rh 0.4299 0.4299 0.8545
Rh 0.1327 0.1327 0.4910

Results
ΔE_f, eV/atom: -0.204
Crystal system: monoclinic

=====

Compound: AsRh2
Source: Alexandria
Functional: PBE-GGA
Structure: optimized geometry

Cell lengths 3.9910, 5.8993, 7.4902 Å; angles 90.00, 90.00, 90.00 degrees
Positions (direct):
As 0.7500 0.7368 0.8866
As 0.2500 0.2632 0.1134
As 0.7500 0.2368 0.6134
As 0.2500 0.7632 0.3866
Rh 0.7500 0.1466 0.9282
Rh 0.2500 0.8534 0.0718
Rh 0.7500 0.6466 0.5718
Rh 0.2500 0.3534 0.4282
Rh 0.7500 0.0321 0.3245
Rh 0.2500 0.9679 0.6755
Rh 0.7500 0.5321 0.1755
Rh 0.2500 0.4679 0.8245

Results
ΔE_f, eV/atom: -0.392
Crystal system: orthorhombic

=====

Compound: AsRuRh
Source: Alexandria
Functional: PBE-GGA
Structure: optimized geometry

Cell lengths 4.5577, 4.5577, 4.5577 Å; angles 142.93, 127.52, 65.98 degrees
Positions (direct):
Ru 0.6775 0.6775 0.0000
As 0.0003 0.0003 0.0000
Rh 0.3222 0.3222 0.0000

Results
ΔE_f, eV/atom: 0.151
Crystal system: orthorhombic
Offset from the most stable computed form, meV per atom: 342

=====

Compound: AsRu2Rh
Source: Alexandria
Functional: PBE-GGA
Structure: optimized geometry

Cell lengths 8.4802, 8.4802, 8.4802 Å; angles 19.23, 19.23, 19.23 degrees
Positions (direct):
Ru 0.9977 0.9977 0.9977
Ru 0.2475 0.2475 0.2475
As 0.5005 0.5005 0.5005
Rh 0.7542 0.7542 0.7542

Results
ΔE_f, eV/atom: 0.094
Crystal system: trigonal

=====

Number 1: DOS at the Fermi energy 3.2 states/eV per cell. Number 2: DOS at the Fermi energy 6.1 states/eV per cell. Number 3: DOS at the Fermi energy 2.8 states/eV per cell. Number 4: DOS at the Fermi energy 13.7 states/eV per cell. Number 5: DOS at the Fermi energy 5.8 states/eV per cell. Number 6: DOS at the Fermi energy 7.3 states/eV per cell. Number 7: DOS at the Fermi energy 5.2 states/eV per cell. Number 8: DOS at the Fermi energy 3.7 states/eV per cell.